The following is a DFT calculation (PBE) of crystalline CdCuO2 at its relaxed geometry.

D(E_F), states/eV/f.u.: 2.1
E_tot, eV/atom: -4.1669
Space group: R-3m (166)
V, A^3/atom: 13.22
Uncorrected formation energy, eV/atom: -0.4350

a b c (Å): 6.4331 6.4331 6.4331
angles (deg): 28.30 28.30 28.30
Atoms (fractional coordinates):
Cd  0.0000  0.0000  0.0000
Cu  0.5000  0.5000  0.5000
O  0.1128  0.1128  0.1128
O  0.8872  0.8872  0.8872